DFT (SCAN) results for a PBEsol-optimized structure of Dy2CuAg3.

Values from the calculation:
Formation energy from the elements ... -306 meV per atom
Energy ... -34.45 eV per atom
ρ ... 10.12 g/cm³
Crystal system ... tetragonal

a b c (Å): 3.611 3.611 8.966
angles (deg): 90.00 90.00 90.00
Fractional positions:
Cu 0.500 0.500 0.169
Ag 0.000 0.000 0.673
Ag 0.000 0.000 0.323
Ag 0.500 0.500 0.832
Dy 0.000 0.000 0.008
Dy 0.500 0.500 0.495